No. 1
Density functional theory data (PBEsol) for a relaxed structure of CuSnPd2.

Properties
Its total DFT energy (no corrections) is -22.09 eV for the cell shown. For the volume, the calculation gives 15.1 A^3/atom. Its symmetry is No. 123. The value obtained for the spin magnetization is 0.00 μB/atom.

Cell: 3.976 3.976 3.811 Å, 90.00 90.00 90.00°
Fractional coordinates of all 4 atoms:
Cu  0.000  0.000  0.000
Sn  0.500  0.500  0.000
Pd  0.000  0.500  0.500
Pd  0.500  0.000  0.500

=====

No. 2
Density functional theory data (PBEsol) for a relaxed structure of TlZnMo2.

Properties
Its total DFT energy (no corrections) is -26.46 eV for the cell shown. For the volume, the calculation gives 16.8 A^3/atom. Its symmetry is No. 99. The value obtained for the spin magnetization is 0.00 μB/atom.

Cell: 3.283 3.283 6.249 Å, 90.00 90.00 90.00°
Fractional coordinates of all 4 atoms:
Tl  0.000  0.000  0.000
Zn  0.500  0.500  0.266
Mo  0.000  0.000  0.500
Mo  0.500  0.500  0.695

=====

No. 3
Density functional theory data (PBEsol) for a relaxed structure of LaNi13.

Properties
Its total DFT energy (no corrections) is -173.11 eV for the cell shown. For the volume, the calculation gives 12.2 A^3/atom. Its symmetry is No. 226. The value obtained for the spin magnetization is 0.46 μB/atom.

Cell: 7.837 7.837 7.837 Å, 60.00 60.00 60.00°
Fractional coordinates of all 28 atoms:
La  0.250  0.250  0.250
La  0.750  0.750  0.750
Ni  0.000  0.000  0.000
Ni  0.064  0.296  0.704
Ni  0.064  0.704  0.936
Ni  0.064  0.936  0.296
Ni  0.204  0.436  0.796
Ni  0.204  0.564  0.436
Ni  0.204  0.796  0.564
Ni  0.296  0.064  0.936
Ni  0.296  0.704  0.064
Ni  0.296  0.936  0.704
Ni  0.436  0.204  0.564
Ni  0.436  0.564  0.796
Ni  0.436  0.796  0.204
Ni  0.500  0.500  0.500
Ni  0.564  0.204  0.796
Ni  0.564  0.436  0.204
Ni  0.564  0.796  0.436
Ni  0.704  0.064  0.296
Ni  0.704  0.296  0.936
Ni  0.704  0.936  0.064
Ni  0.796  0.204  0.436
Ni  0.796  0.436  0.564
Ni  0.796  0.564  0.204
Ni  0.936  0.064  0.704
Ni  0.936  0.296  0.064
Ni  0.936  0.704  0.296

=====

No. 4
Density functional theory data (PBEsol) for a relaxed structure of TiReTe2.

Properties
Its total DFT energy (no corrections) is -27.07 eV for the cell shown. For the volume, the calculation gives 20.1 A^3/atom. The calculation puts the raw formation energy at 1.64 eV/f.u. Its symmetry is No. 166. The value obtained for the spin magnetization is 0.00 μB/atom.

Cell: 9.251 9.251 9.251 Å, 19.92 19.92 19.92°
Fractional coordinates of all 4 atoms:
Ti  0.000  0.000  0.000
Re  0.500  0.500  0.500
Te  0.406  0.406  0.406
Te  0.594  0.594  0.594

=====

No. 5
Density functional theory data (PBEsol) for a relaxed structure of SbOsRu.

Properties
Its total DFT energy (no corrections) is -25.44 eV for the cell shown. For the volume, the calculation gives 16.0 A^3/atom. The calculation puts the raw formation energy at 1.51 eV/f.u. Its symmetry is No. 156. The value obtained for the spin magnetization is 0.00 μB/atom.

Cell: 2.956 2.956 6.340 Å, 90.00 90.00 120.00°
Fractional coordinates of all 3 atoms:
Sb  0.000  0.000  0.000
Os  0.333  0.667  0.654
Ru  0.667  0.333  0.339

=====

No. 6
Density functional theory data (PBEsol) for a relaxed structure of MnZnIn2Pd.

Properties
Its total DFT energy (no corrections) is -20.95 eV for the cell shown. For the volume, the calculation gives 23.6 A^3/atom. Its symmetry is No. 123. The value obtained for the spin magnetization is 0.89 μB/atom.

Cell: 5.009 5.009 4.712 Å, 90.00 90.00 90.00°
Fractional coordinates of all 5 atoms:
Mn  0.000  0.000  0.000
Zn  0.500  0.500  0.000
In  0.000  0.500  0.500
In  0.500  0.000  0.500
Pd  0.500  0.500  0.500